A plane-wave DFT calculation with PBE with a Hubbard U was carried out for crystalline RbVPbO5 at its relaxed geometry.

The structure in extended XYZ format:
```
16
Lattice="3.758 -5.073 0.000 3.758 5.073 0.000 -3.234 0.000 7.009" Properties=species:S:1:pos:R:3 pbc="T T T"
Rb 1.332 3.478 5.256
Rb 2.949 -3.478 1.752
V 2.949 3.125 1.752
V 1.332 -3.125 5.256
Pb 3.758 0.000 0.000
Pb 2.141 0.000 3.504
O -1.521 0.901 6.322
O 1.858 2.086 2.657
O 0.097 -0.901 2.817
O 4.040 2.086 0.847
O 1.332 0.792 5.256
O 2.949 -0.792 1.752
O 0.241 -2.086 6.161
O 4.185 0.901 4.191
O 2.423 -2.086 4.352
O 5.802 -0.901 0.687
```

Computed properties:
spin magnetization = 0.00 μB/atom
space-group type = C2/c (15)
DFT total energy = -0.45085 Ry/atom